# 1
# Zr3CdH

Crystalline Zr3CdH at its relaxed geometry (PBE, the Alexandria database).

Cell: 5.3784 5.3784 5.3784 Å, 113.69 113.69 113.69°
Element x y z (fractional)
H 0.8438 0.8438 0.8438
Zr 0.0202 0.6169 0.0202
Zr 0.6169 0.0202 0.0202
Zr 0.0202 0.0202 0.6169
Cd 0.3739 0.3739 0.3739

Results
Its space-group type is No. 160. The density of states at the Fermi level comes out at 5.80 states/eV per cell. The calculation puts the total energy at -29.2 eV/f.u. The energy above the most stable polymorph in this dataset is 1.89 eV per formula unit.


# 2
# Ca8As

Crystalline Ca8As at its relaxed geometry (PBE, the Alexandria database).

Cell: 9.0359 9.0359 9.0359 Å, 93.22 93.22 152.56°
Element x y z (fractional)
Ca 0.3576 0.6424 0.0000
Ca 0.6424 0.3576 0.0000
Ca 0.0000 0.3365 0.3365
Ca 0.6424 0.6424 0.2849
Ca 0.3365 0.0000 0.3365
Ca 0.3576 0.3576 0.7151
Ca 0.0000 0.6635 0.6635
Ca 0.6635 0.0000 0.6635
As 0.0000 0.0000 0.0000

Results
Its space-group type is No. 139. The density of states at the Fermi level comes out at 4.30 states/eV per cell. The calculation puts the total energy at -22.4 eV/f.u. The calculation puts the formation energy at -190 meV per atom.


# 3
# ZnCdFe2

Crystalline ZnCdFe2 at its relaxed geometry (PBE, the Alexandria database).

Cell: 2.7068 2.7068 8.4703 Å, 90.00 90.00 106.78°
Site moments in Bohr magnetons follow the coordinates.
Element x y z (fractional)
Cd 0.5000 0.5000 0.7613  -0.02
Fe 0.0000 0.0000 0.0305  2.65
Fe 0.5000 0.5000 0.2388  2.54
Zn 0.0000 0.0000 0.4694  -0.03

Results
Its space-group type is No. 35. The density of states at the Fermi level comes out at 2.64 states/eV per cell. The calculation puts the total energy at -18.4 eV/f.u. The calculation puts the formation energy at 187 meV per atom.


# 4
# LaSc2Cd

Crystalline LaSc2Cd at its relaxed geometry (PBE, the Alexandria database).

Cell: 3.4329 3.4329 10.7356 Å, 80.80 80.80 60.00°
Element x y z (fractional)
La 0.5004 0.5004 0.4987
Sc 0.0745 0.0745 0.7766
Sc 0.2587 0.2587 0.2239
Cd 0.6664 0.6664 0.0008

Results
Its space-group type is No. 160. The density of states at the Fermi level comes out at 6.12 states/eV per cell. The calculation puts the total energy at -18.5 eV/f.u. The calculation puts the formation energy at 10 meV per atom.